No. 1
VASP calculation (PBE) on a geometry-optimized Tb2ZrCl structure.

Geometry as CIF:
```
data_Tb2ZrCl
_cell_length_a 3.5216
_cell_length_b 3.5216
_cell_length_c 28.8617
_cell_angle_alpha 90.00
_cell_angle_beta 90.00
_cell_angle_gamma 120.00
_space_group_name_H-M_alt 'R -3 m'
_space_group_IT_number 166
_space_group_name_Hall '-R 3 2"'
loop_
_atom_site_label
_atom_site_type_symbol
_atom_site_fract_x
_atom_site_fract_y
_atom_site_fract_z
Tb1 Tb 0.0000 0.0000 0.2439
Zr1 Zr 0.0000 0.0000 0.0000
Cl1 Cl 0.0000 0.0000 0.5000
```

Summary:
Crystal system: trigonal
Raw total energy, eV per atom: -5.519
Uncorrected formation energy, kcal/mol of atoms: -13.97
Total moment, μB per cell: 0.0

No. 2
VASP calculation (PBE) on a geometry-optimized Tc3Cl structure.

Geometry as CIF:
```
data_Tc3Cl
_cell_length_a 4.5223
_cell_length_b 4.5223
_cell_length_c 2.8720
_cell_angle_alpha 90.00
_cell_angle_beta 90.00
_cell_angle_gamma 90.00
_space_group_name_H-M_alt 'P 4/m m m'
_space_group_IT_number 123
_space_group_name_Hall '-P 4 2'
loop_
_atom_site_label
_atom_site_type_symbol
_atom_site_fract_x
_atom_site_fract_y
_atom_site_fract_z
Tc1 Tc 0.0000 0.0000 0.0000
Tc2 Tc 0.0000 0.5000 0.5000
Cl1 Cl 0.5000 0.5000 0.0000
```

Summary:
Crystal system: tetragonal
Raw total energy, eV per atom: -7.470
Uncorrected formation energy, kcal/mol of atoms: 17.66
Total moment, μB per cell: 0.0

No. 3
VASP calculation (PBE) on a geometry-optimized Tc3Cl structure.

Geometry as CIF:
```
data_Tc3Cl
_cell_length_a 2.8772
_cell_length_b 4.8363
_cell_length_c 8.7544
_cell_angle_alpha 90.00
_cell_angle_beta 90.00
_cell_angle_gamma 90.00
_space_group_name_H-M_alt 'C m m m'
_space_group_IT_number 65
_space_group_name_Hall '-C 2 2'
loop_
_atom_site_label
_atom_site_type_symbol
_atom_site_fract_x
_atom_site_fract_y
_atom_site_fract_z
Tc1 Tc 0.0000 0.0000 0.0000
Tc2 Tc 0.0000 0.5000 0.2493
Cl1 Cl 0.0000 0.0000 0.5000
```

Summary:
Crystal system: orthorhombic
Raw total energy, eV per atom: -7.684
Uncorrected formation energy, kcal/mol of atoms: 12.73
Total moment, μB per cell: 0.0

No. 4
VASP calculation (PBE) on a geometry-optimized Tc3Cl structure.

Geometry as CIF:
```
data_Tc3Cl
_cell_length_a 2.8947
_cell_length_b 9.4996
_cell_length_c 4.3234
_cell_angle_alpha 90.00
_cell_angle_beta 90.00
_cell_angle_gamma 90.00
_space_group_name_H-M_alt 'I m m 2'
_space_group_IT_number 44
loop_
_space_group_symop_operation_xyz
'x,y,z'
'-x,-y,z'
'-x,y,z'
'x,-y,z'
'x+1/2,y+1/2,z+1/2'
'-x+1/2,-y+1/2,z+1/2'
'-x+1/2,y+1/2,z+1/2'
'x+1/2,-y+1/2,z+1/2'
loop_
_atom_site_label
_atom_site_type_symbol
_atom_site_fract_x
_atom_site_fract_y
_atom_site_fract_z
Tc1 Tc 0.0000 0.0000 0.0000
Tc2 Tc 0.0000 0.2922 0.7697
Cl1 Cl 0.0000 0.5000 0.0669
```

Summary:
Crystal system: orthorhombic
Raw total energy, eV per atom: -7.725
Uncorrected formation energy, kcal/mol of atoms: 11.78
Total moment, μB per cell: 0.0

No. 5
VASP calculation (PBE) on a geometry-optimized Tc2Cl structure.

Geometry as CIF:
```
data_Tc2Cl
_cell_length_a 2.8819
_cell_length_b 2.8819
_cell_length_c 6.2516
_cell_angle_alpha 90.00
_cell_angle_beta 90.00
_cell_angle_gamma 120.00
_space_group_name_H-M_alt 'P -3 m 1'
_space_group_IT_number 164
_space_group_name_Hall '-P 3 2"'
loop_
_atom_site_label
_atom_site_type_symbol
_atom_site_fract_x
_atom_site_fract_y
_atom_site_fract_z
Tc1 Tc 0.3333 0.6667 0.3401
Cl1 Cl 0.0000 0.0000 0.0000
```

Summary:
Crystal system: trigonal
Raw total energy, eV per atom: -7.325
Uncorrected formation energy, kcal/mol of atoms: 4.63
Total moment, μB per cell: 0.0

No. 6
VASP calculation (PBE) on a geometry-optimized TcCl5 structure.

Geometry as CIF:
```
data_TcCl5
_cell_length_a 5.0732
_cell_length_b 5.0732
_cell_length_c 7.8562
_cell_angle_alpha 90.00
_cell_angle_beta 90.00
_cell_angle_gamma 120.00
_space_group_name_H-M_alt 'P 6/m m m'
_space_group_IT_number 191
_space_group_name_Hall '-P 6 2'
loop_
_atom_site_label
_atom_site_type_symbol
_atom_site_fract_x
_atom_site_fract_y
_atom_site_fract_z
Tc1 Tc 0.0000 0.0000 0.0000
Cl1 Cl 0.0000 0.5000 0.5000
Cl2 Cl 0.3333 0.6667 0.0000
```

Summary:
Crystal system: hexagonal
Raw total energy, eV per atom: -2.756
Uncorrected formation energy, kcal/mol of atoms: 11.76
Total moment, μB per cell: 4.8

No. 7
VASP calculation (PBE) on a geometry-optimized Tc4Cl structure.

Geometry as CIF:
```
data_Tc4Cl
_cell_length_a 4.3082
_cell_length_b 4.3082
_cell_length_c 4.3082
_cell_angle_alpha 90.00
_cell_angle_beta 90.00
_cell_angle_gamma 90.00
_space_group_name_H-M_alt 'P m -3 m'
_space_group_IT_number 221
_space_group_name_Hall '-P 4 2 3'
loop_
_atom_site_label
_atom_site_type_symbol
_atom_site_fract_x
_atom_site_fract_y
_atom_site_fract_z
Tc1 Tc 0.0000 0.0000 0.0000
Tc2 Tc 0.0000 0.5000 0.5000
Cl1 Cl 0.5000 0.5000 0.5000
```

Summary:
Crystal system: cubic
Raw total energy, eV per atom: -7.396
Uncorrected formation energy, kcal/mol of atoms: 29.19
Total moment, μB per cell: 1.4

No. 8
VASP calculation (PBE) on a geometry-optimized TcCl6 structure.

Geometry as CIF:
```
data_TcCl6
_cell_length_a 6.3519
_cell_length_b 6.3519
_cell_length_c 5.5130
_cell_angle_alpha 90.00
_cell_angle_beta 90.00
_cell_angle_gamma 120.00
_space_group_name_H-M_alt 'P -3 1 m'
_space_group_IT_number 162
_space_group_name_Hall '-P 3 2'
loop_
_atom_site_label
_atom_site_type_symbol
_atom_site_fract_x
_atom_site_fract_y
_atom_site_fract_z
Tc1 Tc 0.0000 0.0000 0.0000
Cl1 Cl 0.0000 0.2958 0.2416
```

Summary:
Crystal system: trigonal
Raw total energy, eV per atom: -3.516
Uncorrected formation energy, kcal/mol of atoms: -10.43
Total moment, μB per cell: 1.0

No. 9
VASP calculation (PBE) on a geometry-optimized Tc2Cl structure.

Geometry as CIF:
```
data_Tc2Cl
_cell_length_a 15.5379
_cell_length_b 2.9163
_cell_length_c 5.6129
_cell_angle_alpha 90.00
_cell_angle_beta 100.28
_cell_angle_gamma 90.00
_space_group_name_H-M_alt 'C 1 2/m 1'
_space_group_IT_number 12
loop_
_space_group_symop_operation_xyz
'x,y,z'
'-x,-y,-z'
'-x,y,-z'
'x,-y,z'
'x+1/2,y+1/2,z'
'-x+1/2,-y+1/2,-z'
'-x+1/2,y+1/2,-z'
'x+1/2,-y+1/2,z'
loop_
_atom_site_label
_atom_site_type_symbol
_atom_site_fract_x
_atom_site_fract_y
_atom_site_fract_z
Tc1 Tc 0.1960 0.0000 0.0877
Tc2 Tc 0.2028 0.0000 0.6112
Cl1 Cl 0.0846 0.5000 0.7911
```

Summary:
Crystal system: monoclinic
Raw total energy, eV per atom: -7.357
Uncorrected formation energy, kcal/mol of atoms: 3.90
Total moment, μB per cell: 0.0

No. 10
VASP calculation (PBE) on a geometry-optimized Tc2Cl structure.

Geometry as CIF:
```
data_Tc2Cl
_cell_length_a 11.1258
_cell_length_b 2.9454
_cell_length_c 6.6909
_cell_angle_alpha 90.00
_cell_angle_beta 116.15
_cell_angle_gamma 90.00
_space_group_name_H-M_alt 'C 1 2/m 1'
_space_group_IT_number 12
loop_
_space_group_symop_operation_xyz
'x,y,z'
'-x,-y,-z'
'-x,y,-z'
'x,-y,z'
'x+1/2,y+1/2,z'
'-x+1/2,-y+1/2,-z'
'-x+1/2,y+1/2,-z'
'x+1/2,-y+1/2,z'
loop_
_atom_site_label
_atom_site_type_symbol
_atom_site_fract_x
_atom_site_fract_y
_atom_site_fract_z
Tc1 Tc 0.0804 0.0000 0.2266
Tc2 Tc 0.1359 0.5000 0.9681
Cl1 Cl 0.1582 0.5000 0.5947
```

Summary:
Crystal system: monoclinic
Raw total energy, eV per atom: -7.274
Uncorrected formation energy, kcal/mol of atoms: 5.82
Total moment, μB per cell: 0.0

No. 11
VASP calculation (PBE) on a geometry-optimized Tc3Cl structure.

Geometry as CIF:
```
data_Tc3Cl
_cell_length_a 2.8785
_cell_length_b 4.0179
_cell_length_c 5.2075
_cell_angle_alpha 90.00
_cell_angle_beta 105.05
_cell_angle_gamma 90.00
_space_group_name_H-M_alt 'P 1 2/m 1'
_space_group_IT_number 10
loop_
_space_group_symop_operation_xyz
'x,y,z'
'-x,-y,-z'
'-x,y,-z'
'x,-y,z'
loop_
_atom_site_label
_atom_site_type_symbol
_atom_site_fract_x
_atom_site_fract_y
_atom_site_fract_z
Tc1 Tc 0.0000 0.0000 0.0000
Tc2 Tc 0.3660 0.5000 0.7437
Cl1 Cl 0.0000 0.0000 0.5000
```

Summary:
Crystal system: monoclinic
Raw total energy, eV per atom: -7.709
Uncorrected formation energy, kcal/mol of atoms: 12.15
Total moment, μB per cell: 0.0

No. 12
VASP calculation (PBE) on a geometry-optimized Tc2Cl structure.

Geometry as CIF:
```
data_Tc2Cl
_cell_length_a 5.6699
_cell_length_b 5.6699
_cell_length_c 5.6699
_cell_angle_alpha 90.00
_cell_angle_beta 90.00
_cell_angle_gamma 90.00
_space_group_name_H-M_alt 'P a -3'
_space_group_IT_number 205
_space_group_name_Hall '-P 2ac 2ab 3'
loop_
_atom_site_label
_atom_site_type_symbol
_atom_site_fract_x
_atom_site_fract_y
_atom_site_fract_z
Tc1 Tc 0.1759 0.1759 0.1759
Cl1 Cl 0.0000 0.0000 0.5000
```

Summary:
Crystal system: cubic
Raw total energy, eV per atom: -6.382
Uncorrected formation energy, kcal/mol of atoms: 26.38
Total moment, μB per cell: 0.0